No. 1
GGA-PBE Er5Ni2Ag, optimized geometry; DFT formation energy = -0.3342 eV/atom; total energy = -4.988 eV per atom; symmetry = I4/mcm (140); density of states at the Fermi level = 8.2 states/eV/f.u.; size of the total moment = 0.0000 μB/atom
1.0
6.8502 0.0000 -3.2337
-1.5265 6.6780 -3.2337
-0.2189 -0.2746 8.4088
Ni Er Ag
4 10 2
Direct
0.8717 0.6283 0.0000
0.1283 0.3717 0.0000
0.3717 0.8717 0.0000
0.6283 0.1283 0.0000
0.2028 0.0244 0.7272
0.2972 0.7972 0.2728
0.5000 0.5000 0.0000
0.9756 0.4756 0.2728
0.5244 0.7028 0.7272
0.0000 0.0000 0.0000
0.7972 0.9756 0.2728
0.7028 0.2028 0.7272
0.0244 0.5244 0.7272
0.4756 0.2972 0.2728
0.7500 0.7500 0.5000
0.2500 0.2500 0.5000

***

No. 2
GGA-PBE Er5Ni4Ag, optimized geometry; DFT formation energy = -0.4056 eV/atom; total energy = -5.285 eV per atom; symmetry = P4/mmm (123); density of states at the Fermi level = 9.2 states/eV/f.u.; size of the total moment = 0.0000 μB/atom
1.0
3.3708 0.0000 0.0000
0.0000 3.3708 0.0000
0.0000 0.0000 17.2808
Ag Ni Er
1 4 5
Direct
0.0000 0.0000 0.0000
0.0000 0.0000 0.5958
0.0000 0.0000 0.2097
0.0000 0.0000 0.7903
0.0000 0.0000 0.4042
0.5000 0.5000 0.8832
0.5000 0.5000 0.3077
0.5000 0.5000 0.6923
0.5000 0.5000 0.5000
0.5000 0.5000 0.1168

***

No. 3
GGA-PBE Er2NiAg, optimized geometry; DFT formation energy = -0.3789 eV/atom; total energy = -4.818 eV per atom; symmetry = P4/mmm (123); density of states at the Fermi level = 4.1 states/eV/f.u.; size of the total moment = 0.0000 μB/atom
1.0
3.4368 0.0000 0.0000
0.0000 3.4368 0.0000
0.0000 0.0000 7.1464
Er Ni Ag
2 1 1
Direct
0.0000 0.0000 0.7733
0.0000 0.0000 0.2267
0.5000 0.5000 0.0000
0.5000 0.5000 0.5000

***

No. 4
GGA-PBE ErNi4Ag, optimized geometry; DFT formation energy = -0.3025 eV/atom; total energy = -5.392 eV per atom; symmetry = F-43m (216); density of states at the Fermi level = 7.2 states/eV/f.u.; size of the total moment = 0.1917 μB/atom
1.0
-0.0382 -4.5673 1.8410
3.2625 -1.2890 3.4563
-1.4932 -0.7769 4.6280
Ni Er Ag
4 1 1
Direct
0.6254 0.1237 0.6254
0.1237 0.6254 0.6254
0.6254 0.6254 0.1237
0.6254 0.6254 0.6254
0.2500 0.2500 0.2500
0.0000 0.0000 0.0000

***

No. 5
GGA-PBE Er2NiAg, optimized geometry; DFT formation energy = -0.2283 eV/atom; total energy = -4.668 eV per atom; symmetry = R-3m (166); density of states at the Fermi level = 2.7 states/eV/f.u.; size of the total moment = 0.0000 μB/atom
1.0
3.9068 0.0000 0.0000
1.9534 3.3834 0.0000
1.9534 1.1278 7.1425
Er Ag Ni
2 1 1
Direct
0.2627 0.2627 0.2118
0.7373 0.7373 0.7882
0.5000 0.5000 0.5000
0.0000 0.0000 0.0000

***

No. 6
GGA-PBE Er3Ni8Ag, optimized geometry; DFT formation energy = -0.4130 eV/atom; total energy = -5.646 eV per atom; symmetry = R3m (160); density of states at the Fermi level = 13.8 states/eV/f.u.; size of the total moment = 0.0000 μB/atom
1.0
-3.5064 3.3769 -1.0633
-4.2926 -1.4368 -2.0829
-5.8451 -0.3916 6.3560
Ni Er Ag
8 3 1
Direct
0.9419 0.4364 0.1853
0.4364 0.9419 0.1853
0.6878 0.6878 0.9365
0.9373 0.4376 0.6877
0.9373 0.9373 0.6877
0.4376 0.9373 0.6877
0.1878 0.1878 0.4367
0.4364 0.4364 0.1853
0.5067 0.5067 0.4800
0.9920 0.9920 0.0241
0.3770 0.3770 0.8690
0.8717 0.8717 0.3848